Arrangement A

VASP calculation (PBE) on a relaxed La2Dy3In2 crystal.

The value obtained for the size of the total moment is 0.00 μB per cell. The density of states at the Fermi level is 1.117 states/eV per atom. The volume comes out at 209.7 Å³/cell. The symmetry is P-1, No. 2.

Unit cell a=4.566 b=6.110 c=8.142 alpha=95.13 beta=90.10 gamma=111.90
Element x y z (fractional)
La1 0.137 0.265 0.431
La2 0.863 0.735 0.569
Dy1 0.000 0.000 0.000
Dy2 0.268 0.540 0.854
Dy3 0.732 0.460 0.146
In1 0.423 0.845 0.263
In2 0.577 0.155 0.737

Arrangement B

VASP calculation (PBE) on a relaxed La2Dy3In2 crystal.

The value obtained for the size of the total moment is 0.00 μB per cell. The density of states at the Fermi level is 1.059 states/eV per atom. The volume comes out at 216.5 Å³/cell. The symmetry is C2/m, No. 12.

Unit cell a=5.517 b=5.517 c=8.812 alpha=108.29 beta=108.29 gamma=60.01
Element x y z (fractional)
La1 0.079 0.079 0.236
La2 0.921 0.921 0.764
Dy1 0.348 0.348 0.045
Dy2 0.500 0.500 0.500
Dy3 0.652 0.652 0.955
In1 0.219 0.219 0.656
In2 0.781 0.781 0.344

Short version: arrangement B is the least stable of them.

Arrangement A

VASP calculation (PBE) on a relaxed La3DyIn2 crystal.

The value obtained for the size of the total moment is 0.00 μB per cell. The density of states at the Fermi level is 1.167 states/eV per atom. The volume comes out at 381.9 Å³/cell. The symmetry is Pmc2_1, No. 26.

Unit cell a=5.328 b=10.382 c=6.903 alpha=90.00 beta=90.00 gamma=90.00
Element x y z (fractional)
La1 0.000 0.046 0.000
La2 0.000 0.322 0.376
La3 0.000 0.678 0.876
La4 0.000 0.954 0.500
La5 0.500 0.184 0.761
La6 0.500 0.816 0.261
Dy1 0.500 0.459 0.109
Dy2 0.500 0.541 0.609
In1 0.000 0.368 0.861
In2 0.000 0.632 0.361
In3 0.500 0.143 0.271
In4 0.500 0.857 0.771

Arrangement B

VASP calculation (PBE) on a relaxed La3DyIn2 crystal.

The value obtained for the size of the total moment is 2.12 μB per cell. The density of states at the Fermi level is 1.328 states/eV per atom. The volume comes out at 400.8 Å³/cell. The symmetry is Ibam, No. 72.

Unit cell a=9.839 b=9.839 c=9.839 alpha=139.24 beta=58.88 gamma=139.42
Element x y z (fractional)
La1 0.177 0.249 0.426
La2 0.250 0.250 0.000
La3 0.323 0.749 0.073
La4 0.677 0.251 0.927
La5 0.750 0.750 0.000
La6 0.823 0.751 0.574
Dy1 0.250 0.750 0.500
Dy2 0.750 0.250 0.500
In1 0.132 0.739 0.871
In2 0.368 0.239 0.608
In3 0.632 0.761 0.392
In4 0.868 0.261 0.129

Short version: arrangement B is the least stable of them.

Arrangement A

VASP calculation (PBE) on a relaxed La3Dy2In3 crystal.

The value obtained for the size of the total moment is 0.00 μB per cell. The density of states at the Fermi level is 1.182 states/eV per atom. The volume comes out at 250.0 Å³/cell. The symmetry is Immm, No. 71.

Unit cell a=11.997 b=11.997 c=11.997 alpha=161.30 beta=153.13 gamma=32.94
Element x y z (fractional)
La1 0.000 0.000 0.000
La2 0.377 0.877 0.500
La3 0.623 0.123 0.500
Dy1 0.235 0.235 0.000
Dy2 0.765 0.765 0.000
In1 0.124 0.624 0.500
In2 0.500 0.500 0.000
In3 0.876 0.376 0.500

Arrangement B

VASP calculation (PBE) on a relaxed La3Dy2In3 crystal.

The value obtained for the size of the total moment is 0.00 μB per cell. The density of states at the Fermi level is 1.219 states/eV per atom. The volume comes out at 238.2 Å³/cell. The symmetry is P-62m, No. 189.

Unit cell a=8.988 b=8.988 c=3.405 alpha=90.00 beta=90.00 gamma=120.00
Element x y z (fractional)
La1 0.000 0.755 0.000
La2 0.245 0.245 0.000
La3 0.755 0.000 0.000
Dy1 0.333 0.667 0.000
Dy2 0.667 0.333 0.000
In1 0.000 0.391 0.500
In2 0.391 0.000 0.500
In3 0.609 0.609 0.500

Short version: arrangement B is the least stable of them.

Arrangement A

VASP calculation (PBE) on a relaxed LaDyIn4 crystal.

The value obtained for the size of the total moment is 0.00 μB per cell. The density of states at the Fermi level is 0.716 states/eV per atom. The volume comes out at 164.0 Å³/cell. The symmetry is Imm2, No. 44.

Unit cell a=6.386 b=6.386 c=6.386 alpha=136.14 beta=108.16 gamma=88.13
Element x y z (fractional)
La1 0.000 0.000 0.000
Dy1 0.614 0.114 0.500
In1 0.000 0.710 0.290
In2 0.191 0.392 0.799
In3 0.421 0.710 0.710
In4 0.593 0.392 0.201

Arrangement B

VASP calculation (PBE) on a relaxed LaDyIn4 crystal.

The value obtained for the size of the total moment is 0.00 μB per cell. The density of states at the Fermi level is 0.773 states/eV per atom. The volume comes out at 159.2 Å³/cell. The symmetry is F-43m, No. 216.

Unit cell a=6.084 b=6.084 c=6.084 alpha=60.00 beta=60.00 gamma=60.00
Element x y z (fractional)
La1 0.000 0.000 0.000
Dy1 0.750 0.750 0.750
In1 0.375 0.375 0.375
In2 0.375 0.375 0.875
In3 0.375 0.875 0.375
In4 0.875 0.375 0.375

Short version: arrangement B is the least stable of them.

Arrangement A

VASP calculation (PBE) on a relaxed LaDy4In2 crystal.

The value obtained for the size of the total moment is 0.00 μB per cell. The density of states at the Fermi level is 1.462 states/eV per atom. The volume comes out at 221.4 Å³/cell. The symmetry is Fmmm, No. 69.

Unit cell a=8.070 b=6.904 c=6.389 alpha=74.64 beta=55.59 gamma=49.77
Element x y z (fractional)
La1 0.000 0.000 0.000
Dy1 0.250 0.250 0.250
Dy2 0.332 0.668 0.332
Dy3 0.668 0.332 0.668
Dy4 0.750 0.750 0.750
In1 0.283 0.283 0.717
In2 0.717 0.717 0.283

Arrangement B

VASP calculation (PBE) on a relaxed LaDy4In2 crystal.

The value obtained for the size of the total moment is 0.00 μB per cell. The density of states at the Fermi level is 1.305 states/eV per atom. The volume comes out at 444.5 Å³/cell. The symmetry is P4_2/mnm, No. 136.

Unit cell a=9.305 b=9.305 c=5.135 alpha=90.00 beta=90.00 gamma=90.00
Element x y z (fractional)
La1 0.000 0.000 0.000
La2 0.500 0.500 0.500
Dy1 0.102 0.354 0.500
Dy2 0.146 0.602 0.000
Dy3 0.354 0.102 0.500
Dy4 0.398 0.854 0.000
Dy5 0.602 0.146 0.000
Dy6 0.646 0.898 0.500
Dy7 0.854 0.398 0.000
Dy8 0.898 0.646 0.500
In1 0.205 0.795 0.500
In2 0.295 0.295 0.000
In3 0.705 0.705 0.000
In4 0.795 0.205 0.500

Short version: arrangement A is the least stable of them.

Arrangement A

VASP calculation (PBE) on a relaxed La2Dy3In4 crystal.

The value obtained for the size of the total moment is 0.00 μB per cell. The density of states at the Fermi level is 0.995 states/eV per atom. The volume comes out at 552.4 Å³/cell. The symmetry is Cmce, No. 64.

Unit cell a=9.261 b=9.261 c=9.082 alpha=90.00 beta=90.00 gamma=134.82
Element x y z (fractional)
La1 0.108 0.892 0.922
La2 0.392 0.608 0.422
La3 0.608 0.392 0.578
La4 0.892 0.108 0.078
Dy1 0.000 0.000 0.500
Dy2 0.029 0.471 0.750
Dy3 0.471 0.029 0.250
Dy4 0.500 0.500 0.000
Dy5 0.529 0.971 0.750
Dy6 0.971 0.529 0.250
In1 0.180 0.820 0.539
In2 0.209 0.291 0.750
In3 0.291 0.209 0.250
In4 0.320 0.680 0.039
In5 0.680 0.320 0.961
In6 0.709 0.791 0.750
In7 0.791 0.709 0.250
In8 0.820 0.180 0.461

Arrangement B

VASP calculation (PBE) on a relaxed La2Dy3In4 crystal.

The value obtained for the size of the total moment is 0.00 μB per cell. The density of states at the Fermi level is 1.053 states/eV per atom. The volume comes out at 551.8 Å³/cell. The symmetry is P2_1/c, No. 14.

Unit cell a=8.449 b=8.465 c=8.114 alpha=90.00 beta=108.05 gamma=90.00
Element x y z (fractional)
La1 0.190 0.179 0.068
La2 0.190 0.321 0.568
La3 0.810 0.679 0.432
La4 0.810 0.821 0.932
Dy1 0.247 0.671 0.249
Dy2 0.247 0.829 0.749
Dy3 0.500 0.000 0.500
Dy4 0.500 0.500 0.000
Dy5 0.753 0.171 0.251
Dy6 0.753 0.329 0.751
In1 0.080 0.535 0.859
In2 0.080 0.965 0.359
In3 0.494 0.126 0.871
In4 0.494 0.374 0.371
In5 0.506 0.626 0.629
In6 0.506 0.874 0.129
In7 0.920 0.035 0.641
In8 0.920 0.465 0.141

Short version: arrangement A is the least stable of them.